No. 1
Entry from Alexandria: a relaxed K5H6Ru crystal (PBE).

The structure in POSCAR format:
```
K5H6Ru
1.0
-1.935 1.596 -5.385
-5.657 1.205 1.053
-0.968 8.002 2.051
K H Ru
5 6 1
direct
0.500 0.128 0.743
0.000 0.633 0.735
0.000 0.367 0.265
0.500 0.500 0.000
0.500 0.872 0.257
0.809 0.806 0.000
0.831 0.094 0.154
0.169 0.753 0.154
0.169 0.906 0.846
0.831 0.247 0.846
0.191 0.194 0.000
0.000 0.000 0.000
```

Calculated values
- space-group type = No. 12
- Fermi-level density of states (states/eV/f.u.) = 1.2
- total DFT energy (no corrections) (eV per atom) = -3.020

***

No. 2
Entry from Alexandria: a relaxed CeGa8Co4 crystal (PBE).

The structure in POSCAR format:
```
CeGa8Co4
1.0
-3.754 -0.846 3.437
-5.802 -1.368 -2.802
-0.506 -6.326 1.762
Ce Ga Co
1 8 4
direct
0.000 0.000 0.000
0.000 0.342 0.658
0.000 0.658 0.342
0.342 0.658 0.658
0.658 0.342 0.342
0.500 0.777 0.223
0.500 0.223 0.777
0.277 0.223 0.223
0.723 0.777 0.777
0.000 0.000 0.500
0.500 0.000 0.500
0.000 0.500 0.000
0.500 0.500 0.000
```

Calculated values
- space-group type = No. 139
- Fermi-level density of states (states/eV/f.u.) = 9.7
- total DFT energy (no corrections) (eV per atom) = -4.843

***

No. 3
Entry from Alexandria: a relaxed CaHgRh2 crystal (PBE).

The structure in POSCAR format:
```
CaHgRh2
1.0
-1.913 4.600 1.900
-3.546 -3.505 -2.253
-1.348 -1.280 2.366
Ca Rh Hg
1 2 1
direct
0.000 0.500 0.500
0.000 0.000 0.000
0.500 0.000 0.500
0.500 0.500 0.000
```

Calculated values
- space-group type = No. 12
- Fermi-level density of states (states/eV/f.u.) = 3.1
- total DFT energy (no corrections) (eV per atom) = -4.260

***

Short version: calculated density = 1.9; 8.2; 10.1 g/cm3, in the order given.